(1)
Below is a relaxed structure of Ac3Pm2Rh4, with properties calculated at the PBE level. Values from VASP.

Geometry as Quantum ESPRESSO input:
```
&SYSTEM
  ibrav = 0, nat = 9, ntyp = 3
/
ATOMIC_SPECIES
Ac 227.00 Ac.upf
Pm 145.00 Pm.upf
Rh 102.91 Rh.upf
ATOMIC_POSITIONS crystal
Ac 0.0000 0.0000 0.0000
Ac 0.3856 0.3856 0.6007
Ac 0.6144 0.6144 0.3993
Pm 0.3133 0.3133 0.1788
Pm 0.6867 0.6867 0.8212
Rh 0.1065 0.1065 0.6113
Rh 0.3391 0.3391 0.8833
Rh 0.6609 0.6609 0.1167
Rh 0.8935 0.8935 0.3887
CELL_PARAMETERS angstrom
6.3499 -2.1411 0.0000
6.3499 2.1411 0.0000
-2.4777 0.0000 9.2164
```

energy of formation = -0.62 eV per atom
V = 250.6 Å³ per cell
total magnetic moment = 0.0 Bohr magnetons per cell

(2)
Below is a relaxed structure of AcPmRh4, with properties calculated at the PBE level. Values from VASP.

Geometry as Quantum ESPRESSO input:
```
&SYSTEM
  ibrav = 0, nat = 6, ntyp = 3
/
ATOMIC_SPECIES
Ac 227.00 Ac.upf
Pm 145.00 Pm.upf
Rh 102.91 Rh.upf
ATOMIC_POSITIONS crystal
Ac 0.0000 0.0000 0.0000
Pm 0.2500 0.2500 0.2500
Rh 0.1266 0.6245 0.6245
Rh 0.6245 0.1266 0.6245
Rh 0.6245 0.6245 0.1266
Rh 0.6245 0.6245 0.6245
CELL_PARAMETERS angstrom
0.0000 3.8722 3.8722
3.8722 0.0000 3.8722
3.8722 3.8722 0.0000
```

energy of formation = -0.61 eV per atom
V = 116.1 Å³ per cell
total magnetic moment = 0.0 Bohr magnetons per cell

(3)
Below is a relaxed structure of AcPm2Rh2, with properties calculated at the PBE level. Values from VASP.

Geometry as Quantum ESPRESSO input:
```
&SYSTEM
  ibrav = 0, nat = 10, ntyp = 3
/
ATOMIC_SPECIES
Ac 227.00 Ac.upf
Pm 145.00 Pm.upf
Rh 102.91 Rh.upf
ATOMIC_POSITIONS crystal
Ac 0.0960 0.9040 0.7500
Ac 0.9040 0.0960 0.2500
Pm 0.3569 0.6431 0.5718
Pm 0.3569 0.6431 0.9282
Pm 0.6431 0.3569 0.0718
Pm 0.6431 0.3569 0.4282
Rh 0.0000 0.0000 0.0000
Rh 0.0000 0.0000 0.5000
Rh 0.2378 0.7622 0.2500
Rh 0.7622 0.2378 0.7500
CELL_PARAMETERS angstrom
1.9969 -6.6917 0.0000
1.9969 6.6917 0.0000
0.0000 0.0000 10.4875
```

energy of formation = -0.58 eV per atom
V = 280.3 Å³ per cell
excess energy over the best structure of this formula in the dataset = 0.022 eV/atom
total magnetic moment = 0.0 Bohr magnetons per cell

(4)
Below is a relaxed structure of Ac2Pm3Rh3, with properties calculated at the PBE level. Values from VASP.

Geometry as Quantum ESPRESSO input:
```
&SYSTEM
  ibrav = 0, nat = 16, ntyp = 3
/
ATOMIC_SPECIES
Ac 227.00 Ac.upf
Pm 145.00 Pm.upf
Rh 102.91 Rh.upf
ATOMIC_POSITIONS crystal
Ac 0.0000 0.0000 0.0000
Ac 0.0176 0.0176 0.3625
Ac 0.3128 0.3128 0.8489
Ac 0.6362 0.6362 0.5637
Pm 0.3495 0.3495 0.4825
Pm 0.4090 0.4090 0.1838
Pm 0.5933 0.5933 0.8209
Pm 0.7215 0.7215 0.0451
Pm 0.7275 0.7275 0.3103
Pm 0.9283 0.9283 0.6819
Rh 0.4492 0.4492 0.6711
Rh 0.5088 0.5088 0.9984
Rh 0.5277 0.5277 0.3698
Rh 0.8043 0.8043 0.8590
Rh 0.8347 0.8347 0.4894
Rh 0.8814 0.8814 0.1809
CELL_PARAMETERS angstrom
6.5758 -2.9130 0.0000
6.5758 2.9130 0.0000
-0.7825 0.0000 13.8523
```

energy of formation = -0.48 eV per atom
V = 530.7 Å³ per cell
total magnetic moment = 0.0 Bohr magnetons per cell

Question: Which value of V does entry 2 give?
Answer: 116.1 Å³ per cell

Question: What is the V in the first record?
Answer: 250.6 Å³ per cell